Record 1
Computed, not measured: SrCSe2 after structural relaxation at the PBE-GGA level of DFT.

Uncorrected formation energy: 1.0649 eV per atom
Raw total energy: -3.404 eV per atom
Crystal system: trigonal

```
SrCSe2
1.0
1.768 1.021 8.548
-1.768 1.021 8.548
0.000 -2.042 8.548
Sr C Se
1 1 2
Direct
0.000 0.000 0.000 Sr
0.500 0.500 0.500 C
0.116 0.116 0.116 Se
0.884 0.884 0.884 Se
```



Record 2
Computed, not measured: HfHg2F after structural relaxation at the PBE-GGA level of DFT.

Uncorrected formation energy: -0.1964 eV per atom
Raw total energy: -3.304 eV per atom
Distance to the lowest polymorph of the same formula: 2.687 kcal/mol of atoms
Crystal system: cubic

```
HfHg2F
1.0
0.000 3.412 3.412
3.412 0.000 3.412
3.412 3.412 0.000
Hf Hg F
1 2 1
Direct
0.000 0.000 0.000 Hf
0.250 0.250 0.250 Hg
0.750 0.750 0.750 Hg
0.500 0.500 0.500 F
```



Record 3
Computed, not measured: Cs3Np3GeTe8 after structural relaxation at the PBE-GGA level of DFT.

Uncorrected formation energy: -0.7378 eV per atom
Raw total energy: -5.480 eV per atom
Crystal system: monoclinic

```
Cs3Np3GeTe8
1.0
7.851 -4.526 0.000
7.851 4.526 0.000
-5.242 0.000 8.983
Cs Np Ge Te
3 3 1 8
Direct
0.000 0.000 0.000 Cs
0.000 0.500 0.000 Cs
0.500 0.000 0.000 Cs
0.000 0.500 0.500 Np
0.500 0.000 0.500 Np
0.500 0.500 0.500 Np
0.000 0.000 0.500 Ge
0.227 0.227 0.681 Te
0.227 0.727 0.680 Te
0.270 0.270 0.310 Te
0.273 0.773 0.320 Te
0.727 0.227 0.680 Te
0.730 0.730 0.690 Te
0.773 0.273 0.320 Te
0.773 0.773 0.319 Te
```



Record 4
Computed, not measured: RbCrI2N after structural relaxation at the PBE-GGA level of DFT.

Uncorrected formation energy: 1.4640 eV per atom
Raw total energy: -2.939 eV per atom
Distance to the lowest polymorph of the same formula: 42.085 kcal/mol of atoms
Crystal system: tetragonal

```
RbCrI2N
1.0
6.592 0.000 0.000
0.000 6.592 0.000
0.000 0.000 4.521
Rb Cr I N
1 1 2 1
Direct
0.000 0.000 0.000 Rb
0.500 0.500 0.500 Cr
0.000 0.500 0.000 I
0.500 0.000 0.000 I
0.000 0.000 0.500 N
```



Record 5
Computed, not measured: Li7Hg after structural relaxation at the PBE-GGA level of DFT.

Energy of formation: -0.13 eV/atom
Raw total energy: -1.840 eV per atom
Crystal system: cubic

```
Li7Hg
1.0
0.000 4.195 4.195
4.195 0.000 4.195
4.195 4.195 0.000
Li Hg
7 1
Direct
0.000 0.000 0.000 Li
0.000 0.000 0.500 Li
0.000 0.500 0.000 Li
0.000 0.500 0.500 Li
0.500 0.000 0.000 Li
0.500 0.000 0.500 Li
0.500 0.500 0.000 Li
0.500 0.500 0.500 Hg
```



Record 6
Computed, not measured: HgP2Pb2 after structural relaxation at the PBE-GGA level of DFT.

Energy of formation: 0.26 eV/atom
Raw total energy: -3.448 eV per atom
Distance to the lowest polymorph of the same formula: 3.376 kcal/mol of atoms
Crystal system: tetragonal

```
HgP2Pb2
1.0
-2.081 2.081 7.822
2.081 -2.081 7.822
2.081 2.081 -7.822
Hg P Pb
1 2 2
Direct
0.000 0.000 0.000 Hg
0.250 0.750 0.500 P
0.750 0.250 0.500 P
0.377 0.377 0.000 Pb
0.623 0.623 0.000 Pb
```



Record 7
Computed, not measured: Th2NpUN4 after structural relaxation at the PBE-GGA level of DFT.

Uncorrected formation energy: -1.3721 eV per atom
Raw total energy: -10.418 eV per atom
Crystal system: monoclinic

```
Th2NpUN4
1.0
6.130 0.000 0.000
0.000 3.543 0.000
-2.055 0.000 5.820
Th Np U N
2 1 1 4
Direct
0.000 0.000 0.000 Th
0.500 0.500 0.000 Th
0.000 0.500 0.500 Np
0.500 0.000 0.500 U
0.248 0.000 0.723 N
0.266 0.500 0.278 N
0.734 0.500 0.722 N
0.752 0.000 0.277 N
```



Record 8
Computed, not measured: Ce2ZnPd4 after structural relaxation at the PBE-GGA level of DFT.

Energy of formation: -0.54 eV/atom
Raw total energy: -5.384 eV per atom
Crystal system: triclinic

```
Ce2ZnPd4
1.0
4.935 0.000 0.000
1.915 4.660 0.000
0.753 2.106 6.760
Ce Zn Pd
2 1 4
Direct
0.010 0.349 0.281 Ce
0.990 0.651 0.719 Ce
0.500 0.000 0.000 Zn
0.000 0.000 0.000 Pd
0.329 0.694 0.345 Pd
0.500 0.500 0.000 Pd
0.671 0.306 0.655 Pd
```



Record 9
Computed, not measured: Ce2Al8Rh after structural relaxation at the PBE-GGA level of DFT.

Energy of formation: -0.51 eV/atom
Raw total energy: -4.980 eV per atom
Crystal system: tetragonal

```
Ce2Al8Rh
1.0
4.325 0.000 0.000
0.000 4.325 0.000
0.000 0.000 11.339
Ce Al Rh
2 8 1
Direct
0.000 0.000 0.192 Ce
0.000 0.000 0.808 Ce
0.000 0.500 0.000 Al
0.000 0.500 0.380 Al
0.000 0.500 0.620 Al
0.500 0.000 0.000 Al
0.500 0.000 0.380 Al
0.500 0.000 0.620 Al
0.500 0.500 0.196 Al
0.500 0.500 0.804 Al
0.000 0.000 0.500 Rh
```



Record 10
Computed, not measured: Pr3Sm2Al3 after structural relaxation at the PBE-GGA level of DFT.

Energy of formation: -0.21 eV/atom
Raw total energy: -4.587 eV per atom
Crystal system: hexagonal

```
Pr3Sm2Al3
1.0
8.694 0.000 0.000
-4.347 7.529 0.000
0.000 0.000 3.392
Pr Sm Al
3 2 3
Direct
0.000 0.247 0.000 Pr
0.247 0.000 0.000 Pr
0.753 0.753 0.000 Pr
0.333 0.667 0.000 Sm
0.667 0.333 0.000 Sm
0.000 0.616 0.500 Al
0.384 0.384 0.500 Al
0.616 0.000 0.500 Al
```



Record 11
Computed, not measured: PmMgSe2O8 after structural relaxation at the PBE-GGA level of DFT.

Uncorrected formation energy: -1.4962 eV per atom
Raw total energy: -5.911 eV per atom
Crystal system: trigonal

```
PmMgSe2O8
1.0
5.544 0.000 0.000
-2.772 4.801 0.000
0.000 0.000 6.816
Pm Mg Se O
1 1 2 8
Direct
0.000 0.000 0.000 Pm
0.000 0.000 0.500 Mg
0.333 0.667 0.229 Se
0.667 0.333 0.771 Se
0.156 0.312 0.287 O
0.156 0.844 0.287 O
0.312 0.156 0.713 O
0.333 0.667 0.983 O
0.667 0.333 0.017 O
0.688 0.844 0.287 O
0.844 0.156 0.713 O
0.844 0.688 0.713 O
```



Record 12
Computed, not measured: Tc2NiW after structural relaxation at the PBE-GGA level of DFT.

Energy of formation: 0.10 eV/atom
Raw total energy: -9.769 eV per atom
Distance to the lowest polymorph of the same formula: 2.592 kcal/mol of atoms
Crystal system: tetragonal

```
Tc2NiW
1.0
2.705 0.000 0.000
0.000 2.705 0.000
0.000 0.000 7.734
Tc Ni W
2 1 1
Direct
0.000 0.000 0.000 Tc
0.500 0.500 0.244 Tc
0.500 0.500 0.757 Ni
0.000 0.000 0.519 W
```